Ce2NiP3Ir4 after structural relaxation, computed with PBE.

## Properties
Space-group type = P-4m2 (115)
ΔE_f = -0.9083 eV/atom
Spin magnetization = 0.0 μB per formula unit

a = 4.071 Å, b = 4.071 Å, c = 9.946 Å
α = 90.00°, β = 90.00°, γ = 90.00°
Fractional coordinates of all 10 atoms:
Ce  0.500  0.000  0.257
Ce  0.000  0.500  0.743
Ni  0.500  0.500  0.500
P  0.000  0.000  0.500
P  0.500  0.000  0.863
P  0.000  0.500  0.137
Ir  0.500  0.500  0.000
Ir  0.000  0.000  0.000
Ir  0.500  0.000  0.632
Ir  0.000  0.500  0.368



CePaNiIr after structural relaxation, computed with PBE.

## Properties
Space-group type = F-43m (216)
ΔE_f = -0.4211 eV/atom
Spin magnetization = 0.0 μB per formula unit

a = 4.853 Å, b = 4.853 Å, c = 4.853 Å
α = 60.00°, β = 60.00°, γ = 60.00°
Fractional coordinates of all 4 atoms:
Ni  0.500  0.500  0.500
Pa  0.750  0.750  0.750
Ce  0.250  0.250  0.250
Ir  0.000  0.000  0.000